A plane-wave DFT calculation with PBE was carried out for an optimized crystal structure of NaYSeBr2.

ΔE to the lowest computed polymorph = 704 meV/atom
Formation energy from raw total energies = -777 meV/atom
SG = P4/mmm

Cell: 4.989 4.989 5.547 Å, 90.00 90.00 90.00°
Element x y z (fractional)
Na1 0.000 0.000 0.000
Y1 0.500 0.500 0.500
Se1 0.000 0.000 0.500
Br1 0.000 0.500 0.000
Br2 0.500 0.000 0.000

A plane-wave DFT calculation with PBE was carried out for an optimized crystal structure of SbRhO2F.

Formation energy from raw total energies = -486 meV/atom
SG = P4/mmm

Cell: 4.055 4.055 4.076 Å, 90.00 90.00 90.00°
Element x y z (fractional)
Sb1 0.000 0.000 0.000
Rh1 0.500 0.500 0.500
O1 0.000 0.500 0.500
O2 0.500 0.000 0.500
F1 0.500 0.500 0.000

A plane-wave DFT calculation with PBE was carried out for an optimized crystal structure of PrTh2Ag2Sn2.

ΔE_f = -1.59 eV per formula unit
SG = R-3m

Cell: 9.767 9.767 9.767 Å, 28.85 28.85 28.85°
Element x y z (fractional)
Pr1 0.000 0.000 0.000
Th1 0.132 0.132 0.132
Th2 0.868 0.868 0.868
Ag1 0.411 0.411 0.411
Ag2 0.589 0.589 0.589
Sn1 0.265 0.265 0.265
Sn2 0.735 0.735 0.735

A plane-wave DFT calculation with PBE was carried out for an optimized crystal structure of AcCeY2.

ΔE to the lowest computed polymorph = 84 meV/atom
ΔE_f = 0.71 eV per formula unit
SG = Fm-3m

Cell: 8.284 8.284 8.284 Å, 90.00 90.00 90.00°
Element x y z (fractional)
Ac1 0.000 0.000 0.000
Ac2 0.000 0.500 0.500
Ac3 0.500 0.000 0.500
Ac4 0.500 0.500 0.000
Ce1 0.000 0.000 0.500
Ce2 0.000 0.500 0.000
Ce3 0.500 0.000 0.000
Ce4 0.500 0.500 0.500
Y1 0.250 0.250 0.250
Y2 0.250 0.250 0.750
Y3 0.250 0.750 0.250
Y4 0.250 0.750 0.750
Y5 0.750 0.250 0.250
Y6 0.750 0.250 0.750
Y7 0.750 0.750 0.250
Y8 0.750 0.750 0.750

A plane-wave DFT calculation with PBE was carried out for an optimized crystal structure of La2MnAgAu.

ΔE_f = 4.04 eV per formula unit
SG = P4/mmm

Cell: 5.677 5.677 5.069 Å, 90.00 90.00 90.00°
Element x y z (fractional)
La1 0.000 0.500 0.000
La2 0.500 0.000 0.000
Mn1 0.000 0.000 0.500
Ag1 0.500 0.500 0.500
Au1 0.500 0.500 0.000

A plane-wave DFT calculation with PBE was carried out for an optimized crystal structure of CrSbP.

ΔE to the lowest computed polymorph = 76 meV/atom
Formation energy from raw total energies = -87 meV/atom
SG = Cmc2_1

Cell: 3.134 11.690 5.369 Å, 90.00 90.00 90.00°
Element x y z (fractional)
Cr1 0.000 0.080 0.000
Cr2 0.000 0.920 0.500
Cr3 0.500 0.420 0.500
Cr4 0.500 0.580 0.000
Sb1 0.000 0.298 0.812
Sb2 0.000 0.702 0.312
Sb3 0.500 0.202 0.312
Sb4 0.500 0.798 0.812
P1 0.000 0.444 0.165
P2 0.000 0.556 0.665
P3 0.500 0.056 0.665
P4 0.500 0.944 0.165

A plane-wave DFT calculation with PBE was carried out for an optimized crystal structure of RbTmRe2N6.

Formation energy from raw total energies = -355 meV/atom
SG = C2/c

Cell: 7.819 7.819 6.383 Å, 103.44 103.44 89.62°
Element x y z (fractional)
Rb1 0.089 0.911 0.750
Rb2 0.911 0.089 0.250
Tm1 0.292 0.708 0.250
Tm2 0.708 0.292 0.750
Re1 0.215 0.377 0.840
Re2 0.377 0.215 0.340
Re3 0.623 0.785 0.660
Re4 0.785 0.623 0.160
N1 0.003 0.717 0.272
N2 0.205 0.606 0.877
N3 0.283 0.997 0.228
N4 0.298 0.366 0.141
N5 0.366 0.298 0.641
N6 0.394 0.795 0.623
N7 0.606 0.205 0.377
N8 0.634 0.702 0.359
N9 0.702 0.634 0.859
N10 0.717 0.003 0.772
N11 0.795 0.394 0.123
N12 0.997 0.283 0.728

A plane-wave DFT calculation with PBE was carried out for an optimized crystal structure of NbRe2IrRh.

ΔE_f = 11.43 eV per formula unit
SG = P4/mmm

Cell: 4.692 4.692 4.695 Å, 90.00 90.00 90.00°
Element x y z (fractional)
Nb1 0.000 0.000 0.000
Re1 0.000 0.500 0.000
Re2 0.500 0.000 0.000
Ir1 0.000 0.000 0.500
Rh1 0.500 0.500 0.500

A plane-wave DFT calculation with PBE was carried out for an optimized crystal structure of Na2TeC.

ΔE to the lowest computed polymorph = 0 meV/atom
Formation energy from raw total energies = 656 meV/atom
SG = I-42d

Cell: 10.135 10.135 4.597 Å, 90.00 90.00 90.00°
Element x y z (fractional)
Na1 0.005 0.750 0.125
Na2 0.250 0.005 0.875
Na3 0.250 0.495 0.375
Na4 0.495 0.750 0.625
Na5 0.505 0.250 0.625
Na6 0.750 0.505 0.375
Na7 0.750 0.995 0.875
Na8 0.995 0.250 0.125
Te1 0.000 0.000 0.500
Te2 0.000 0.500 0.750
Te3 0.500 0.000 0.250
Te4 0.500 0.500 0.000
C1 0.000 0.000 0.000
C2 0.000 0.500 0.250
C3 0.500 0.000 0.750
C4 0.500 0.500 0.500

A plane-wave DFT calculation with PBE was carried out for an optimized crystal structure of HgP2SeO.

ΔE to the lowest computed polymorph = 530 meV/atom
Formation energy from raw total energies = 1089 meV/atom
SG = P4/mmm

Cell: 5.028 5.028 4.084 Å, 90.00 90.00 90.00°
Element x y z (fractional)
Hg1 0.000 0.000 0.000
P1 0.000 0.500 0.000
P2 0.500 0.000 0.000
Se1 0.500 0.500 0.500
O1 0.000 0.000 0.500

A plane-wave DFT calculation with PBE was carried out for an optimized crystal structure of GeCl3.

ΔE to the lowest computed polymorph = 0 meV/atom
Formation energy from raw total energies = -217 meV/atom
SG = I-42d

Cell: 7.681 7.681 10.972 Å, 90.00 90.00 90.00°
Element x y z (fractional)
Ge1 0.000 0.000 0.000
Ge2 0.000 0.500 0.250
Ge3 0.500 0.000 0.750
Ge4 0.500 0.500 0.500
Cl1 0.000 0.000 0.500
Cl2 0.000 0.500 0.750
Cl3 0.077 0.250 0.125
Cl4 0.250 0.577 0.375
Cl5 0.250 0.923 0.875
Cl6 0.423 0.250 0.625
Cl7 0.500 0.000 0.250
Cl8 0.500 0.500 0.000
Cl9 0.577 0.750 0.625
Cl10 0.750 0.077 0.875
Cl11 0.750 0.423 0.375
Cl12 0.923 0.750 0.125

A plane-wave DFT calculation with PBE was carried out for an optimized crystal structure of SrSiNi2.

Formation energy from raw total energies = -497 meV/atom
SG = R-3m

Cell: 4.034 4.034 15.897 Å, 90.00 90.00 120.00°
Element x y z (fractional)
Sr1 0.000 0.000 0.000
Sr2 0.333 0.667 0.667
Sr3 0.667 0.333 0.333
Si1 0.000 0.000 0.500
Si2 0.333 0.667 0.167
Si3 0.667 0.333 0.833
Ni1 0.000 0.000 0.190
Ni2 0.000 0.000 0.810
Ni3 0.333 0.667 0.477
Ni4 0.333 0.667 0.856
Ni5 0.667 0.333 0.144
Ni6 0.667 0.333 0.523